PBE-GGA BeFePb2, relaxed; magnetic moment = 2.4 Bohr magnetons per cell; final energy = -3.890 eV per atom
1.0
0.000 3.439 3.439
3.439 0.000 3.439
3.439 3.439 0.000
Be Fe Pb
1 1 2
Direct
0.000 0.000 0.000
0.250 0.250 0.250
0.500 0.500 0.500
0.750 0.750 0.750